(1)
The following is a PBE-GGA calculation of a geometry-optimized PPdN2 structure, from Alexandria via LeMat-Bulk.

Cell and atoms, written as extended XYZ:
```
4
Lattice="2.974 0.000 0.000 -1.481 3.358 0.000 -0.015 -0.771 4.486" Properties=species:S:1:pos:R:3 pbc="T T T"
P 0.000 0.000 0.000
Pd 0.004 2.141 1.466
N 1.473 0.097 3.324
N 1.476 1.350 3.114
```

Values from the calculation:
DOS at the Fermi energy ... 2.03 states/eV/f.u.
ΔE_f (raw) ... 1.73 eV/f.u.
Volume ... 44.8 Å³/cell
DFT total energy ... -25.53 eV per cell

---

(2)
The following is a PBE-GGA calculation of a geometry-optimized Ba3Sn2RhO9 structure, from Alexandria via LeMat-Bulk.

Cell and atoms, written as extended XYZ:
```
15
Lattice="5.868 0.000 0.000 -2.934 5.082 0.000 0.000 0.000 7.193" Properties=species:S:1:pos:R:3 pbc="T T T"
Ba 0.000 0.000 0.000
Ba 0.000 3.388 4.751
Ba 2.934 1.694 2.442
Sn 0.000 3.388 1.203
Sn 2.934 1.694 5.990
Rh 0.000 0.000 3.597
O -1.467 2.541 0.000
O 0.000 1.678 2.409
O -1.481 4.243 2.409
O 1.453 0.839 4.784
O 2.934 0.000 0.000
O 1.467 2.541 0.000
O 1.481 4.243 2.409
O 4.415 0.839 4.784
O 2.934 3.404 4.784
```

Values from the calculation:
DOS at the Fermi energy ... 6.95 states/eV/f.u.
ΔE_f (raw) ... -28.82 eV/f.u.
Volume ... 214.5 Å³/cell
DFT total energy ... -94.57 eV per cell

---

(3)
The following is a PBE-GGA calculation of a geometry-optimized NaEu2Zr structure, from Alexandria via LeMat-Bulk.

Cell and atoms, written as extended XYZ:
```
4
Lattice="1.705 0.984 12.850 -1.705 0.984 12.850 0.000 -1.969 12.850" Properties=species:S:1:pos:R:3 pbc="T T T"
Na 0.000 0.000 0.000
Eu 0.000 0.000 16.161
Eu 0.000 0.000 22.388
Zr 0.000 0.000 19.275
```

Values from the calculation:
DOS at the Fermi energy ... 6.19 states/eV/f.u.
Volume ... 129.4 Å³/cell
DFT total energy ... -28.62 eV per cell
Energy of formation ... 0.45 eV/atom